A relaxed SmMg2Tl crystal, computed with PBE.

Results
SG: R-3m (166)
Theoretical density (g cm⁻³): 5.985
DFT formation energy (kJ/mol of formula units): 65.5
Energy above the most stable polymorph in this dataset (meV per atom): 400

The structure in extended XYZ format:
```
4
Lattice="-3.071 -1.318 -0.266 -1.276 -0.679 -3.024 3.048 -11.240 -0.622" Properties=species:S:1:pos:R:3 pbc="T T T"
Tl -0.650 -6.618 -1.956
Mg 1.775 -8.247 -0.756
Mg -3.074 -4.989 -3.156
Sm 0.000 0.000 0.000
```